Here is an optimized crystal structure of Ho2NpN from Alexandria via LeMat-Bulk. Energies are from GGA-PBE.

```
data_Ho2NpN
_chemical_formula_sum 'Ho2 Np1 N1'
_cell_length_a 4.870
_cell_length_b 4.870
_cell_length_c 3.378
_cell_angle_alpha 90.00
_cell_angle_beta 90.00
_cell_angle_gamma 90.00
_symmetry_space_group_name_H-M 'P 1'
_symmetry_Int_Tables_number 1
loop_
_symmetry_equiv_pos_as_xyz
'x,y,z'
loop_
_atom_site_label
_atom_site_fract_x
_atom_site_fract_y
_atom_site_fract_z
Ho1 0.000 0.500 0.000
Ho2 0.500 0.000 0.000
Np1 0.000 0.000 0.500
N1 0.500 0.500 0.500
```

Output
Calculated total energy ... -27.11 eV for the cell shown
Polymorph energy (0 for the lowest one) ... 1238 meV/atom
Calculated volume ... 20.0 Å³ per atom
Magnetic moment ... 1.06 μB per atom